Record 1
Computed, not measured: an optimized crystal structure of Cd5H4Rh4 at the PBE level of DFT.

Lattice parameters (Å, degrees): 3.102 7.825 7.825 87.75 78.57 78.57
Fractional coordinates of all 13 atoms:
Rh: 0.861 0.559 0.719
Rh: 0.139 0.441 0.281
Rh: 0.580 0.281 0.559
Rh: 0.420 0.719 0.441
H: 0.332 0.660 0.675
H: 0.668 0.340 0.325
H: 0.993 0.675 0.340
H: 0.007 0.325 0.660
Cd: 0.366 0.335 0.933
Cd: 0.634 0.665 0.067
Cd: 0.299 0.067 0.335
Cd: 0.701 0.933 0.665
Cd: 0.000 0.000 0.000

Properties
E_tot: -3.63 eV per atom
DOS(E_F): 6.16 states/eV per cell

Record 2
Computed, not measured: an optimized crystal structure of TbEuTlGe at the PBE level of DFT.

Lattice parameters (Å, degrees): 5.333 5.333 5.333 60.00 60.00 60.00
Fractional coordinates of all 4 atoms:
Tl: 0.250 0.250 0.250
Ge: 0.750 0.750 0.750
Tb: 0.500 0.500 0.500
Eu: 0.000 0.000 0.000

Properties
E_tot: -5.91 eV per atom
DOS(E_F): 1.97 states/eV per cell

Record 3
Computed, not measured: an optimized crystal structure of SrCr2Pd at the PBE level of DFT.

Lattice parameters (Å, degrees): 4.259 4.259 10.063 77.78 77.78 90.00
Fractional coordinates of all 8 atoms:
Pd: 0.750 0.250 0.500
Pd: 0.000 0.000 0.000
Cr: 0.875 0.125 0.250
Cr: 0.375 0.125 0.750
Cr: 0.875 0.125 0.750
Cr: 0.875 0.625 0.250
Sr: 0.250 0.750 0.500
Sr: 0.500 0.500 0.000

Properties
DOS(E_F): 11.51 states/eV per cell
Excess energy over the best structure of this formula in the dataset: 0.0 meV/atom

Record 4
Computed, not measured: an optimized crystal structure of LiZr2Br at the PBE level of DFT.

Lattice parameters (Å, degrees): 3.184 4.448 5.864 90.00 90.00 90.00
Fractional coordinates of all 4 atoms:
Zr: 0.000 0.000 0.510
Zr: 0.000 0.000 0.990
Br: 0.500 0.500 0.250
Li: 0.500 0.500 0.750

Properties
DOS(E_F): 3.72 states/eV per cell
Excess energy over the best structure of this formula in the dataset: 478.3 meV/atom

Record 5
Computed, not measured: an optimized crystal structure of SrAsCl2 at the PBE level of DFT.

Lattice parameters (Å, degrees): 5.661 3.993 5.262 67.81 90.00 90.00
Fractional coordinates of all 4 atoms:
Cl: 0.500 0.478 0.172
Cl: 0.000 0.009 0.106
As: 0.500 0.710 0.703
Sr: 0.000 0.303 0.520

Properties
DOS(E_F): 2.62 states/eV per cell
Excess energy over the best structure of this formula in the dataset: 21.1 meV/atom

Record 6
Computed, not measured: an optimized crystal structure of CePu4S6 at the PBE level of DFT.

Lattice parameters (Å, degrees): 3.934 6.818 19.841 90.00 90.00 106.77
Fractional coordinates of all 22 atoms:
Pu: 0.862 0.725 0.959
Pu: 0.138 0.275 0.459
Pu: 0.593 0.186 0.630
Pu: 0.593 0.186 0.870
Pu: 0.862 0.725 0.541
Pu: 0.138 0.275 0.041
Pu: 0.407 0.814 0.370
Pu: 0.407 0.814 0.130
S: 0.955 0.909 0.832
S: 0.770 0.539 0.412
S: 0.955 0.909 0.668
S: 0.230 0.461 0.588
S: 0.500 0.000 0.500
S: 0.692 0.383 0.750
S: 0.230 0.461 0.912
S: 0.770 0.539 0.088
S: 0.308 0.617 0.250
S: 0.500 0.000 0.000
S: 0.045 0.091 0.168
S: 0.045 0.091 0.332
Ce: 0.655 0.311 0.250
Ce: 0.345 0.689 0.750

Properties
E_tot: -9.76 eV per atom
DOS(E_F): 86.28 states/eV per cell

Question: DOS(E_F) of number 3 (SrCr2Pd)?
Answer: 11.51 states/eV per cell

Question: Which of these has the highest DOS(E_F)?
Answer: CePu4S6

Question: Which value of DOS(E_F) does entry 4 give?
Answer: 3.72 states/eV per cell

Question: Which of these has the lowest DOS(E_F)?
Answer: TbEuTlGe